No. 1
First-principles (PBE) data for an optimized crystal structure of CaPr12Y5, as listed in Alexandria.

a b c (Å): 11.047 11.047 5.229
angles (deg): 90.00 90.00 90.56
Positions (direct):
Ca 0.000 0.000 0.000
Pr 0.002 0.663 0.000
Pr 0.168 0.501 0.500
Pr 0.171 0.171 0.500
Pr 0.333 0.333 0.000
Pr 0.337 0.998 0.000
Pr 0.499 0.832 0.500
Pr 0.501 0.168 0.500
Pr 0.663 0.002 0.000
Pr 0.667 0.667 0.000
Pr 0.829 0.829 0.500
Pr 0.832 0.499 0.500
Pr 0.998 0.337 0.000
Y 0.172 0.828 0.500
Y 0.334 0.666 0.000
Y 0.500 0.500 0.500
Y 0.666 0.334 0.000
Y 0.828 0.172 0.500

ΔE_f: 0.03 eV/atom
volume: 638.0 Å³ per cell
total moment: 0.00 μB/f.u.


No. 2
First-principles (PBE) data for an optimized crystal structure of ThS2F4, as listed in Alexandria.

a b c (Å): 3.904 4.014 9.661
angles (deg): 83.84 79.95 89.92
Positions (direct):
Th 0.000 0.000 0.000
S 0.194 0.107 0.530
S 0.806 0.893 0.470
F 0.057 0.534 0.869
F 0.442 0.965 0.134
F 0.558 0.035 0.866
F 0.943 0.466 0.131

volume: 148.2 Å³ per cell
total moment: 0.00 μB/f.u.
E_form (uncorrected): -19.5 eV/f.u.


No. 3
First-principles (PBE) data for an optimized crystal structure of Y2Mo2Pt, as listed in Alexandria.

a b c (Å): 6.882 6.882 4.570
angles (deg): 90.00 90.00 90.00
Positions (direct):
Y 0.181 0.319 0.000
Y 0.319 0.819 0.000
Y 0.681 0.181 0.000
Y 0.819 0.681 0.000
Mo 0.119 0.619 0.500
Mo 0.381 0.119 0.500
Mo 0.619 0.881 0.500
Mo 0.881 0.381 0.500
Pt 0.000 0.000 0.500
Pt 0.500 0.500 0.500

ΔE_f: -0.02 eV/atom
volume: 216.4 Å³ per cell
total moment: 0.00 μB/f.u.
relative energy among the computed polymorphs: 0.00 eV/f.u.


No. 4
First-principles (PBE) data for an optimized crystal structure of MgAu, as listed in Alexandria.

a b c (Å): 7.585 7.585 5.030
angles (deg): 90.00 90.00 120.00
Positions (direct):
Mg 0.080 0.777 0.250
Mg 0.223 0.304 0.250
Mg 0.304 0.080 0.750
Mg 0.696 0.920 0.250
Mg 0.777 0.696 0.750
Mg 0.920 0.223 0.750
Au 0.104 0.647 0.750
Au 0.353 0.457 0.750
Au 0.457 0.104 0.250
Au 0.543 0.896 0.750
Au 0.647 0.543 0.250
Au 0.896 0.353 0.250

ΔE_f: -0.40 eV/atom
volume: 250.6 Å³ per cell
total moment: 0.00 μB/f.u.


No. 5
First-principles (PBE) data for an optimized crystal structure of Zn2CuRu, as listed in Alexandria.

a b c (Å): 3.998 3.998 3.355
angles (deg): 90.00 90.00 90.00
Positions (direct):
Zn 0.000 0.500 0.000
Zn 0.500 0.000 0.000
Cu 0.000 0.000 0.500
Ru 0.500 0.500 0.500

ΔE_f: -0.11 eV/atom
volume: 53.6 Å³ per cell
total moment: 0.00 μB/f.u.


No. 6
First-principles (PBE) data for an optimized crystal structure of KAl2HN, as listed in Alexandria.

a b c (Å): 3.904 3.904 5.114
angles (deg): 90.00 90.00 90.00
Positions (direct):
K 0.000 0.000 0.000
Al 0.000 0.500 0.500
Al 0.500 0.000 0.500
H 0.500 0.500 0.500
N 0.500 0.500 0.000

electronic total energy: -3.0505 eV/atom
volume: 77.9 Å³ per cell
total moment: 0.00 μB/f.u.


No. 7
First-principles (PBE) data for an optimized crystal structure of KCaBe2Bi, as listed in Alexandria.

a b c (Å): 5.266 5.266 5.826
angles (deg): 90.00 90.00 90.00
Positions (direct):
K 0.000 0.000 0.000
Ca 0.000 0.000 0.500
Be 0.000 0.500 0.500
Be 0.500 0.000 0.500
Bi 0.500 0.500 0.000

ΔE_f: 1.34 eV/atom
volume: 161.5 Å³ per cell
total moment: 0.00 μB/f.u.


No. 8
First-principles (PBE) data for an optimized crystal structure of TaAs, as listed in Alexandria.

a b c (Å): 6.373 6.419 7.447
angles (deg): 90.00 90.00 90.00
Positions (direct):
Ta 0.034 0.080 0.299
Ta 0.162 0.238 0.937
Ta 0.338 0.762 0.437
Ta 0.466 0.920 0.799
Ta 0.534 0.420 0.701
Ta 0.662 0.262 0.063
Ta 0.838 0.738 0.563
Ta 0.966 0.580 0.201
As 0.176 0.602 0.731
As 0.233 0.861 0.076
As 0.267 0.139 0.576
As 0.324 0.398 0.231
As 0.676 0.898 0.269
As 0.733 0.639 0.924
As 0.767 0.361 0.424
As 0.824 0.102 0.769

ΔE_f: -0.23 eV/atom
volume: 304.6 Å³ per cell
total moment: 0.00 μB/f.u.


No. 9
First-principles (PBE) data for an optimized crystal structure of Li4Ac4Tl7, as listed in Alexandria.

a b c (Å): 12.116 12.116 12.116
angles (deg): 93.83 93.83 150.05
Positions (direct):
Li 0.101 0.601 0.202
Li 0.101 0.899 0.500
Li 0.399 0.601 0.500
Li 0.399 0.899 0.798
Li 0.601 0.101 0.202
Li 0.601 0.399 0.500
Li 0.899 0.101 0.500
Li 0.899 0.399 0.798
Ac 0.000 0.198 0.198
Ac 0.000 0.802 0.802
Ac 0.198 0.000 0.198
Ac 0.358 0.358 0.716
Ac 0.358 0.642 0.000
Ac 0.642 0.358 0.000
Ac 0.642 0.642 0.284
Ac 0.802 0.000 0.802
Tl 0.000 0.407 0.407
Tl 0.000 0.593 0.593
Tl 0.195 0.500 0.695
Tl 0.209 0.209 0.419
Tl 0.209 0.791 0.000
Tl 0.251 0.251 0.000
Tl 0.407 0.000 0.407
Tl 0.500 0.195 0.695
Tl 0.500 0.805 0.305
Tl 0.593 0.000 0.593
Tl 0.749 0.749 0.000
Tl 0.791 0.209 0.000
Tl 0.791 0.791 0.581
Tl 0.805 0.500 0.305

ΔE_f: -0.28 eV/atom
volume: 857.8 Å³ per cell
total moment: 0.00 μB/f.u.


No. 10
First-principles (PBE) data for an optimized crystal structure of AsAuSN2, as listed in Alexandria.

a b c (Å): 3.619 3.619 6.203
angles (deg): 90.00 90.00 90.00
Positions (direct):
As 0.000 0.000 0.000
Au 0.500 0.500 0.500
S 0.000 0.000 0.500
N 0.000 0.500 0.000
N 0.500 0.000 0.000

volume: 81.2 Å³ per cell
total moment: 0.53 μB/f.u.
relative energy among the computed polymorphs: 0.00 eV/f.u.
E_form (uncorrected): 6.4 eV/f.u.


No. 11
First-principles (PBE) data for an optimized crystal structure of Sc2TaCr, as listed in Alexandria.

a b c (Å): 4.113 4.113 4.539
angles (deg): 90.00 90.00 90.00
Positions (direct):
Sc 0.000 0.500 0.000
Sc 0.500 0.000 0.000
Ta 0.000 0.000 0.500
Cr 0.500 0.500 0.500

ΔE_f: 0.35 eV/atom
volume: 76.8 Å³ per cell
total moment: 1.84 μB/f.u.
relative energy among the computed polymorphs: 0.90 eV/f.u.


No. 12
First-principles (PBE) data for an optimized crystal structure of CsBaAgO2, as listed in Alexandria.

a b c (Å): 8.208 8.208 6.081
angles (deg): 90.00 90.00 122.95
Positions (direct):
Cs 0.250 0.750 0.935
Cs 0.750 0.250 0.065
Ba 0.250 0.250 0.500
Ba 0.750 0.750 0.500
Ag 0.000 0.000 0.000
Ag 0.500 0.500 0.000
O 0.080 0.920 0.717
O 0.420 0.580 0.717
O 0.580 0.420 0.283
O 0.920 0.080 0.283

volume: 343.8 Å³ per cell
total moment: 0.00 μB/f.u.
E_form (uncorrected): -6.7 eV/f.u.


No. 13
First-principles (PBE) data for an optimized crystal structure of Sr2ZnBr6, as listed in Alexandria.

a b c (Å): 7.012 7.975 12.028
angles (deg): 90.00 124.46 90.00
Positions (direct):
Sr 0.216 0.111 0.255
Sr 0.216 0.389 0.755
Sr 0.784 0.611 0.245
Sr 0.784 0.889 0.745
Zn 0.500 0.000 0.000
Zn 0.500 0.500 0.500
Br 0.127 0.164 0.942
Br 0.127 0.336 0.442
Br 0.279 0.693 0.943
Br 0.279 0.807 0.443
Br 0.374 0.028 0.754
Br 0.374 0.472 0.254
Br 0.626 0.528 0.746
Br 0.626 0.972 0.246
Br 0.721 0.193 0.557
Br 0.721 0.307 0.057
Br 0.873 0.664 0.558
Br 0.873 0.836 0.058

volume: 554.6 Å³ per cell
total moment: 0.00 μB/f.u.
relative energy among the computed polymorphs: 0.00 eV/f.u.
E_form (uncorrected): -15.0 eV/f.u.


No. 14
First-principles (PBE) data for an optimized crystal structure of ThMg2CdAg4, as listed in Alexandria.

a b c (Å): 9.371 9.371 9.371
angles (deg): 29.06 29.06 29.06
Positions (direct):
Th 0.000 0.000 0.000
Mg 0.242 0.242 0.242
Mg 0.758 0.758 0.758
Cd 0.500 0.500 0.500
Ag 0.125 0.125 0.125
Ag 0.394 0.394 0.394
Ag 0.606 0.606 0.606
Ag 0.875 0.875 0.875

ΔE_f: -0.11 eV/atom
volume: 171.7 Å³ per cell
total moment: 0.00 μB/f.u.


No. 15
First-principles (PBE) data for an optimized crystal structure of Ho2ZnPd, as listed in Alexandria.

a b c (Å): 4.979 4.979 4.979
angles (deg): 60.00 60.00 60.00
Positions (direct):
Ho 0.250 0.250 0.250
Ho 0.750 0.750 0.750
Zn 0.000 0.000 0.000
Pd 0.500 0.500 0.500

ΔE_f: -0.62 eV/atom
volume: 87.3 Å³ per cell
total moment: 0.00 μB/f.u.
relative energy among the computed polymorphs: 0.10 eV/f.u.


No. 16
First-principles (PBE) data for an optimized crystal structure of SrEu2Tm, as listed in Alexandria.

a b c (Å): 12.911 12.911 12.911
angles (deg): 17.12 17.12 17.12
Positions (direct):
Sr 0.000 0.000 0.000
Eu 0.243 0.243 0.243
Eu 0.757 0.757 0.757
Tm 0.500 0.500 0.500

ΔE_f: 0.11 eV/atom
volume: 162.7 Å³ per cell
total moment: 15.32 μB/f.u.
relative energy among the computed polymorphs: 0.06 eV/f.u.


No. 17
First-principles (PBE) data for an optimized crystal structure of SrSbRh2, as listed in Alexandria.

a b c (Å): 6.314 6.314 6.314
angles (deg): 105.75 105.75 117.21
Positions (direct):
Sr 0.000 0.000 0.000
Sr 0.750 0.250 0.500
Sb 0.250 0.750 0.500
Sb 0.500 0.500 0.000
Rh 0.188 0.125 0.563
Rh 0.375 0.812 0.937
Rh 0.562 0.625 0.437
Rh 0.875 0.438 0.063

volume: 191.1 Å³ per cell
total moment: 0.00 μB/f.u.
E_form (uncorrected): -0.4 eV/f.u.


No. 18
First-principles (PBE) data for an optimized crystal structure of SrSbOs2, as listed in Alexandria.

a b c (Å): 4.718 4.718 6.129
angles (deg): 111.78 111.78 55.98
Positions (direct):
Sr 0.000 0.000 0.000
Sb 0.500 0.500 0.500
Os 0.198 0.198 0.551
Os 0.802 0.802 0.449

volume: 102.6 Å³ per cell
total moment: 0.00 μB/f.u.
E_form (uncorrected): 1.6 eV/f.u.


No. 19
First-principles (PBE) data for an optimized crystal structure of RbNa2Hg, as listed in Alexandria.

a b c (Å): 19.336 9.578 6.986
angles (deg): 90.00 90.00 90.00
Positions (direct):
Rb 0.108 0.250 0.227
Rb 0.135 0.750 0.037
Rb 0.365 0.250 0.537
Rb 0.392 0.750 0.727
Rb 0.608 0.250 0.273
Rb 0.635 0.750 0.463
Rb 0.865 0.250 0.963
Rb 0.892 0.750 0.773
Na 0.044 0.061 0.714
Na 0.044 0.439 0.714
Na 0.211 0.559 0.531
Na 0.211 0.941 0.531
Na 0.289 0.059 0.031
Na 0.289 0.441 0.031
Na 0.456 0.561 0.214
Na 0.456 0.939 0.214
Na 0.544 0.061 0.786
Na 0.544 0.439 0.786
Na 0.711 0.559 0.969
Na 0.711 0.941 0.969
Na 0.789 0.059 0.469
Na 0.789 0.441 0.469
Na 0.956 0.561 0.286
Na 0.956 0.939 0.286
Hg 0.068 0.750 0.536
Hg 0.186 0.250 0.739
Hg 0.314 0.750 0.239
Hg 0.432 0.250 0.036
Hg 0.568 0.750 0.964
Hg 0.686 0.250 0.761
Hg 0.814 0.750 0.261
Hg 0.932 0.250 0.464

ΔE_f: -0.14 eV/atom
volume: 1293.8 Å³ per cell
total moment: 0.00 μB/f.u.


No. 20
First-principles (PBE) data for an optimized crystal structure of YMgAs, as listed in Alexandria.

a b c (Å): 6.550 6.310 3.576
angles (deg): 77.59 70.20 32.22
Positions (direct):
Y 0.000 0.000 0.000
Mg 0.283 0.283 0.717
As 0.644 0.644 0.356

ΔE_f: -0.57 eV/atom
volume: 73.4 Å³ per cell
total moment: 0.00 μB/f.u.
relative energy among the computed polymorphs: 0.91 eV/f.u.